VASP calculation (GGA-PBE) on crystalline Ta2ZnRe at its relaxed geometry.

Unit cell a=4.377 b=2.769 c=5.628 alpha=75.67 beta=90.00 gamma=90.00
Fractional coordinates of all 4 atoms:
Re (0.500, 0.750, 0.750)
Ta (0.000, 0.982, 0.990)
Ta (0.000, 0.518, 0.510)
Zn (0.500, 0.250, 0.250)

Values from the calculation:
Formation energy   0.006 eV per atom
Space-group type   P2/m
ρ   15.416 g cm⁻³
E   -9.351 eV per atom